No. 1
# Cu2SiMo

A relaxed structure of Cu2SiMo (PBE, Alexandria via LeMat-Bulk).

Summary:
For the total magnetic moment, the calculation gives 0.00 μB/atom. Its theoretical density is 7.967 g/cm3. For the energy relative to the elements, uncorrected, the calculation gives -0.05 eV per atom.

CIF file:
```
data_Cu2SiMo
_chemical_formula_sum 'Cu2 Si1 Mo1'
_space_group_name_H-M_alt 'P 4/m m m'
_space_group_IT_number 123
_space_group_name_Hall '-P 4 2'
_cell_length_a 3.6151
_cell_length_b 3.6151
_cell_length_c 4.0046
_cell_angle_alpha 90.00
_cell_angle_beta 90.00
_cell_angle_gamma 90.00
loop_
_atom_site_label
_atom_site_type_symbol
_atom_site_fract_x
_atom_site_fract_y
_atom_site_fract_z
Cu1 Cu 0.0000 0.5000 0.0000
Si1 Si 0.0000 0.0000 0.5000
Mo1 Mo 0.5000 0.5000 0.5000
```

=====

No. 2
# La2NdHg8

A relaxed structure of La2NdHg8 (PBE, Alexandria via LeMat-Bulk).

Summary:
The energy of formation comes out at -382 meV per atom. For the total magnetic moment, the calculation gives 0.00 μB/atom. Its theoretical density is 11.219 g/cm3.

CIF file:
```
data_La2NdHg8
_chemical_formula_sum 'La4 Nd2 Hg16'
_space_group_name_H-M_alt 'I m m m'
_space_group_IT_number 71
_space_group_name_Hall '-I 2 2'
_cell_length_a 5.3209
_cell_length_b 7.5216
_cell_length_c 14.9905
_cell_angle_alpha 90.00
_cell_angle_beta 90.00
_cell_angle_gamma 90.00
loop_
_atom_site_label
_atom_site_type_symbol
_atom_site_fract_x
_atom_site_fract_y
_atom_site_fract_z
La1 La 0.0000 0.0000 0.1935
Nd1 Nd 0.0000 0.0000 0.5000
Hg1 Hg 0.0000 0.2160 0.0000
Hg2 Hg 0.0000 0.2905 0.3559
Hg3 Hg 0.0000 0.5000 0.1577
```

=====

No. 3
# Li3PrTm2Se6

A relaxed structure of Li3PrTm2Se6 (PBE, Alexandria via LeMat-Bulk).

Summary:
For the total magnetic moment, the calculation gives 0.00 μB/atom. Its theoretical density is 5.700 g/cm3. For the energy relative to the elements, uncorrected, the calculation gives -1.67 eV per atom.

CIF file:
```
data_Li3PrTm2Se6
_chemical_formula_sum 'Li6 Pr2 Tm4 Se12'
_space_group_name_H-M_alt 'C 1 2/m 1'
_space_group_IT_number 12
_space_group_name_Hall '-C 2y'
_cell_length_a 7.0918
_cell_length_b 12.2884
_cell_length_c 6.9224
_cell_angle_alpha 90.00
_cell_angle_beta 109.95
_cell_angle_gamma 90.00
loop_
_atom_site_label
_atom_site_type_symbol
_atom_site_fract_x
_atom_site_fract_y
_atom_site_fract_z
Li1 Li 0.0000 0.0000 0.0000
Li2 Li 0.0000 0.3319 0.0000
Pr1 Pr 0.0000 0.5000 0.5000
Tm1 Tm 0.0000 0.1666 0.5000
Se1 Se 0.2383 0.0000 0.7551
Se2 Se 0.2425 0.1733 0.2471
```

=====

No. 4
# Cs2TlAgH

A relaxed structure of Cs2TlAgH (PBE, Alexandria via LeMat-Bulk).

Summary:
The calculation puts the uncorrected energy at -9.785 eV for the cell shown. For the total magnetic moment, the calculation gives 0.04 μB/atom. Its theoretical density is 5.168 g/cm3.

CIF file:
```
data_Cs2TlAgH
_chemical_formula_sum 'Cs2 Tl1 Ag1 H1'
_space_group_name_H-M_alt 'P 4/m m m'
_space_group_IT_number 123
_space_group_name_Hall '-P 4 2'
_cell_length_a 5.9934
_cell_length_b 5.9934
_cell_length_c 5.1799
_cell_angle_alpha 90.00
_cell_angle_beta 90.00
_cell_angle_gamma 90.00
loop_
_atom_site_label
_atom_site_type_symbol
_atom_site_fract_x
_atom_site_fract_y
_atom_site_fract_z
Cs1 Cs 0.0000 0.5000 0.0000
Tl1 Tl 0.0000 0.0000 0.5000
Ag1 Ag 0.5000 0.5000 0.5000
H1 H 0.0000 0.0000 0.0000
```

=====

No. 5
# SbRuPb2

A relaxed structure of SbRuPb2 (PBE, Alexandria via LeMat-Bulk).

Summary:
For the total magnetic moment, the calculation gives 0.00 μB/atom. Its theoretical density is 10.697 g/cm3. For the energy relative to the elements, uncorrected, the calculation gives 0.11 eV per atom.

CIF file:
```
data_SbRuPb2
_chemical_formula_sum 'Sb1 Ru1 Pb2'
_space_group_name_H-M_alt 'P 4 m m'
_space_group_IT_number 99
_space_group_name_Hall 'P 4 -2'
_cell_length_a 3.2970
_cell_length_b 3.2970
_cell_length_c 9.1003
_cell_angle_alpha 90.00
_cell_angle_beta 90.00
_cell_angle_gamma 90.00
loop_
_atom_site_label
_atom_site_type_symbol
_atom_site_fract_x
_atom_site_fract_y
_atom_site_fract_z
Sb1 Sb 0.0000 0.0000 0.0000
Ru1 Ru 0.5000 0.5000 0.8448
Pb1 Pb 0.0000 0.0000 0.6239
Pb2 Pb 0.5000 0.5000 0.3098
```

=====

No. 6
# LiGdThCd

A relaxed structure of LiGdThCd (PBE, Alexandria via LeMat-Bulk).

Summary:
The energy of formation comes out at 5 meV per atom. For the total magnetic moment, the calculation gives 2.03 μB/atom. Its theoretical density is 7.860 g/cm3.

CIF file:
```
data_LiGdThCd
_chemical_formula_sum 'Li4 Gd4 Th4 Cd4'
_space_group_name_H-M_alt 'F -4 3 m'
_space_group_IT_number 216
_space_group_name_Hall 'F -4 2 3'
_cell_length_a 7.5468
_cell_length_b 7.5468
_cell_length_c 7.5468
_cell_angle_alpha 90.00
_cell_angle_beta 90.00
_cell_angle_gamma 90.00
loop_
_atom_site_label
_atom_site_type_symbol
_atom_site_fract_x
_atom_site_fract_y
_atom_site_fract_z
Li1 Li 0.0000 0.0000 0.0000
Gd1 Gd 0.2500 0.2500 0.2500
Th1 Th 0.2500 0.2500 0.7500
Cd1 Cd 0.0000 0.0000 0.5000
```

=====

No. 7
# InCuIr4

A relaxed structure of InCuIr4 (PBE, Alexandria via LeMat-Bulk).

Summary:
The energy of formation comes out at 378 meV per atom. For the total magnetic moment, the calculation gives 0.00 μB/atom. Its theoretical density is 15.744 g/cm3.

CIF file:
```
data_InCuIr4
_chemical_formula_sum 'In4 Cu4 Ir16'
_space_group_name_H-M_alt 'F -4 3 m'
_space_group_IT_number 216
_space_group_name_Hall 'F -4 2 3'
_cell_length_a 7.3658
_cell_length_b 7.3658
_cell_length_c 7.3658
_cell_angle_alpha 90.00
_cell_angle_beta 90.00
_cell_angle_gamma 90.00
loop_
_atom_site_label
_atom_site_type_symbol
_atom_site_fract_x
_atom_site_fract_y
_atom_site_fract_z
In1 In 0.0000 0.0000 0.0000
Cu1 Cu 0.2500 0.2500 0.2500
Ir1 Ir 0.1248 0.1248 0.6248
```

=====

No. 8
# SO

A relaxed structure of SO (PBE, Alexandria via LeMat-Bulk).

Summary:
As for the excess energy over the best structure of this formula in the dataset: 0.0738 eV per atom. For the total magnetic moment, the calculation gives 0.00 μB/atom. Its theoretical density is 1.817 g/cm3. For the energy relative to the elements, uncorrected, the calculation gives -0.49 eV per atom.

CIF file:
```
data_SO
_chemical_formula_sum 'S8 O8'
_space_group_name_H-M_alt 'P 21 21 21'
_space_group_IT_number 19
_space_group_name_Hall 'P 2ac 2ab'
_cell_length_a 5.9793
_cell_length_b 6.6770
_cell_length_c 8.8030
_cell_angle_alpha 90.00
_cell_angle_beta 90.00
_cell_angle_gamma 90.00
loop_
_atom_site_label
_atom_site_type_symbol
_atom_site_fract_x
_atom_site_fract_y
_atom_site_fract_z
S1 S 0.0662 0.0964 0.3684
S2 S 0.2235 0.4365 0.5558
O1 O 0.1887 0.1591 0.5257
O2 O 0.2270 0.5174 0.4005
```